(1)
# ErTl3Hg12

A geometry-optimized ErTl3Hg12 structure (PBE, Alexandria via LeMat-Bulk).

Calculated formation energy, meV/atom: -81

Geometry as CIF:
```
data_ErTl3Hg12
_space_group_name_H-M_alt 'P m m m'
_space_group_IT_number 47
_cell_length_a 4.358
_cell_length_b 4.759
_cell_length_c 20.895
_cell_angle_alpha 90.00
_cell_angle_beta 90.00
_cell_angle_gamma 90.00
loop_
_space_group_symop_operation_xyz
'x,y,z'
'-x,-y,-z'
'-x,-y,z'
'x,y,-z'
'x,-y,-z'
'-x,y,z'
'-x,y,-z'
'x,-y,z'
loop_
_atom_site_label
_atom_site_type_symbol
_atom_site_fract_x
_atom_site_fract_y
_atom_site_fract_z
Er1 Er 0.000 0.000 0.000
Tl1 Tl 0.000 0.000 0.239
Tl2 Tl 0.000 0.000 0.500
Hg1 Hg 0.000 0.500 0.113
Hg2 Hg 0.000 0.500 0.369
Hg3 Hg 0.500 0.000 0.113
Hg4 Hg 0.500 0.000 0.368
Hg5 Hg 0.500 0.500 0.000
Hg6 Hg 0.500 0.500 0.238
Hg7 Hg 0.500 0.500 0.500
```

(2)
# ThP2Rh4

A geometry-optimized ThP2Rh4 structure (PBE, Alexandria via LeMat-Bulk).

Calculated formation energy, meV/atom: -903

Geometry as CIF:
```
data_ThP2Rh4
_space_group_name_H-M_alt 'P 42/m n m'
_space_group_IT_number 136
_space_group_name_Hall '-P 4n 2n'
_cell_length_a 7.716
_cell_length_b 7.716
_cell_length_c 3.730
_cell_angle_alpha 90.00
_cell_angle_beta 90.00
_cell_angle_gamma 90.00
loop_
_atom_site_label
_atom_site_type_symbol
_atom_site_fract_x
_atom_site_fract_y
_atom_site_fract_z
Th1 Th 0.000 0.000 0.000
P1 P 0.228 0.228 0.500
Rh1 Rh 0.076 0.675 0.500
```

(3)
# MgZr2Au

A geometry-optimized MgZr2Au structure (PBE, Alexandria via LeMat-Bulk).

Calculated formation energy, meV/atom: -250

Geometry as CIF:
```
data_MgZr2Au
_space_group_name_H-M_alt 'I 4/m m m'
_space_group_IT_number 139
_space_group_name_Hall '-I 4 2'
_cell_length_a 4.222
_cell_length_b 4.222
_cell_length_c 9.133
_cell_angle_alpha 90.00
_cell_angle_beta 90.00
_cell_angle_gamma 90.00
loop_
_atom_site_label
_atom_site_type_symbol
_atom_site_fract_x
_atom_site_fract_y
_atom_site_fract_z
Mg1 Mg 0.000 0.000 0.000
Zr1 Zr 0.000 0.500 0.250
Au1 Au 0.000 0.000 0.500
```

(4)
# CsRhSN2

A geometry-optimized CsRhSN2 structure (PBE, Alexandria via LeMat-Bulk).

E_form (uncorrected), eV per atom: 2.836

Geometry as CIF:
```
data_CsRhSN2
_space_group_name_H-M_alt 'P 4/m m m'
_space_group_IT_number 123
_space_group_name_Hall '-P 4 2'
_cell_length_a 4.148
_cell_length_b 4.148
_cell_length_c 6.612
_cell_angle_alpha 90.00
_cell_angle_beta 90.00
_cell_angle_gamma 90.00
loop_
_atom_site_label
_atom_site_type_symbol
_atom_site_fract_x
_atom_site_fract_y
_atom_site_fract_z
Cs1 Cs 0.000 0.000 0.000
Rh1 Rh 0.500 0.500 0.500
S1 S 0.000 0.000 0.500
N1 N 0.000 0.500 0.000
```

(5)
# Pb5Au3

A geometry-optimized Pb5Au3 structure (PBE, Alexandria via LeMat-Bulk).

Offset from the most stable computed form, eV per atom: 0.005
Calculated formation energy, meV/atom: -53

Geometry as CIF:
```
data_Pb5Au3
_space_group_name_H-M_alt 'F m m 2'
_space_group_IT_number 42
_space_group_name_Hall 'F 2 -2'
_cell_length_a 16.276
_cell_length_b 16.401
_cell_length_c 6.390
_cell_angle_alpha 90.00
_cell_angle_beta 90.00
_cell_angle_gamma 90.00
loop_
_atom_site_label
_atom_site_type_symbol
_atom_site_fract_x
_atom_site_fract_y
_atom_site_fract_z
Pb1 Pb 0.000 0.000 0.000
Pb2 Pb 0.000 0.000 0.499
Pb3 Pb 0.105 0.183 0.749
Pb4 Pb 0.183 0.105 0.249
Au1 Au 0.000 0.161 0.249
Au2 Au 0.161 0.000 0.750
Au3 Au 0.250 0.250 0.499
```

(6)
# Ca2BiAu

A geometry-optimized Ca2BiAu structure (PBE, Alexandria via LeMat-Bulk).

Calculated formation energy, meV/atom: -377

Geometry as CIF:
```
data_Ca2BiAu
_space_group_name_H-M_alt 'I -4 2 d'
_space_group_IT_number 122
_space_group_name_Hall 'I -4 2bw'
_cell_length_a 6.312
_cell_length_b 6.312
_cell_length_c 16.380
_cell_angle_alpha 90.00
_cell_angle_beta 90.00
_cell_angle_gamma 90.00
loop_
_atom_site_label
_atom_site_type_symbol
_atom_site_fract_x
_atom_site_fract_y
_atom_site_fract_z
Ca1 Ca 0.237 0.250 0.125
Bi1 Bi 0.000 0.000 0.500
Au1 Au 0.000 0.000 0.000
```

(7)
# CaHg

A geometry-optimized CaHg structure (PBE, Alexandria via LeMat-Bulk).

Calculated formation energy, meV/atom: -430

Geometry as CIF:
```
data_CaHg
_space_group_name_H-M_alt 'I m m a'
_space_group_IT_number 74
_space_group_name_Hall '-I 2b 2'
_cell_length_a 3.767
_cell_length_b 5.305
_cell_length_c 11.227
_cell_angle_alpha 90.00
_cell_angle_beta 90.00
_cell_angle_gamma 90.00
loop_
_atom_site_label
_atom_site_type_symbol
_atom_site_fract_x
_atom_site_fract_y
_atom_site_fract_z
Ca1 Ca 0.000 0.250 0.105
Hg1 Hg 0.000 0.250 0.639
```

(8)
# GeHSeO

A geometry-optimized GeHSeO structure (PBE, Alexandria via LeMat-Bulk).

Offset from the most stable computed form, eV per atom: 0.094

Geometry as CIF:
```
data_GeHSeO
_space_group_name_H-M_alt 'P 1'
_space_group_IT_number 1
_cell_length_a 2.598
_cell_length_b 3.809
_cell_length_c 7.460
_cell_angle_alpha 84.98
_cell_angle_beta 80.70
_cell_angle_gamma 89.49
loop_
_space_group_symop_operation_xyz
'x,y,z'
loop_
_atom_site_label
_atom_site_type_symbol
_atom_site_fract_x
_atom_site_fract_y
_atom_site_fract_z
Ge1 Ge 0.000 0.000 0.000
H1 H 0.230 0.616 0.243
Se1 Se 0.127 0.618 0.729
O1 O 0.895 0.648 0.196
```

(9)
# YBTe2Ir

A geometry-optimized YBTe2Ir structure (PBE, Alexandria via LeMat-Bulk).

Offset from the most stable computed form, eV per atom: 0.000
E_form (uncorrected), eV per atom: -0.141

Geometry as CIF:
```
data_YBTe2Ir
_space_group_name_H-M_alt 'P 4/m m m'
_space_group_IT_number 123
_space_group_name_Hall '-P 4 2'
_cell_length_a 5.458
_cell_length_b 5.458
_cell_length_c 3.990
_cell_angle_alpha 90.00
_cell_angle_beta 90.00
_cell_angle_gamma 90.00
loop_
_atom_site_label
_atom_site_type_symbol
_atom_site_fract_x
_atom_site_fract_y
_atom_site_fract_z
Y1 Y 0.000 0.000 0.000
B1 B 0.500 0.500 0.000
Te1 Te 0.000 0.500 0.500
Ir1 Ir 0.500 0.500 0.500
```

(10)
# Sc2SiBr

A geometry-optimized Sc2SiBr structure (PBE, Alexandria via LeMat-Bulk).

Offset from the most stable computed form, eV per atom: 0.354
E_form (uncorrected), eV per atom: -0.548

Geometry as CIF:
```
data_Sc2SiBr
_space_group_name_H-M_alt 'I m m m'
_space_group_IT_number 71
_space_group_name_Hall '-I 2 2'
_cell_length_a 4.350
_cell_length_b 5.361
_cell_length_c 7.072
_cell_angle_alpha 90.00
_cell_angle_beta 90.00
_cell_angle_gamma 90.00
loop_
_atom_site_label
_atom_site_type_symbol
_atom_site_fract_x
_atom_site_fract_y
_atom_site_fract_z
Sc1 Sc 0.000 0.000 0.244
Si1 Si 0.000 0.500 0.500
Br1 Br 0.000 0.500 0.000
```

(11)
# RbEu2Bi

A geometry-optimized RbEu2Bi structure (PBE, Alexandria via LeMat-Bulk).

Calculated formation energy, meV/atom: -291

Geometry as CIF:
```
data_RbEu2Bi
_space_group_name_H-M_alt 'R -3 m'
_space_group_IT_number 166
_space_group_name_Hall '-R 3 2"'
_cell_length_a 4.7888
_cell_length_b 4.7888
_cell_length_c 36.9602
_cell_angle_alpha 90.00
_cell_angle_beta 90.00
_cell_angle_gamma 120.00
loop_
_atom_site_label
_atom_site_type_symbol
_atom_site_fract_x
_atom_site_fract_y
_atom_site_fract_z
Rb1 Rb 0.0000 0.0000 0.0000
Eu1 Eu 0.0000 0.0000 0.1199
Bi1 Bi 0.0000 0.0000 0.5000
```

(12)
# CsSc3Ta

A geometry-optimized CsSc3Ta structure (PBE, Alexandria via LeMat-Bulk).

Offset from the most stable computed form, eV per atom: 1.033
Calculated formation energy, meV/atom: 1878

Geometry as CIF:
```
data_CsSc3Ta
_space_group_name_H-M_alt 'P m -3 m'
_space_group_IT_number 221
_space_group_name_Hall '-P 4 2 3'
_cell_length_a 5.125
_cell_length_b 5.125
_cell_length_c 5.125
_cell_angle_alpha 90.00
_cell_angle_beta 90.00
_cell_angle_gamma 90.00
loop_
_atom_site_label
_atom_site_type_symbol
_atom_site_fract_x
_atom_site_fract_y
_atom_site_fract_z
Cs1 Cs 0.000 0.000 0.000
Sc1 Sc 0.000 0.000 0.500
Ta1 Ta 0.500 0.500 0.500
```

Number 1: total magnetic moment 0.000 μB/f.u., density of states at the Fermi level 0.4350 states/eV per atom, total energy -16.581 eV per cell. Number 2: total magnetic moment 0.000 μB/f.u., density of states at the Fermi level 0.6541 states/eV per atom, total energy -107.926 eV per cell. Number 3: total magnetic moment 0.000 μB/f.u., density of states at the Fermi level 1.1843 states/eV per atom, total energy -45.936 eV per cell. Number 4: total magnetic moment 1.295 μB/f.u., density of states at the Fermi level 1.2787 states/eV per atom, total energy -14.803 eV per cell. Number 5: total magnetic moment 0.000 μB/f.u., density of states at the Fermi level 0.4037 states/eV per atom, total energy -230.404 eV per cell. Number 6: total magnetic moment 0.000 μB/f.u., density of states at the Fermi level 0.0000 states/eV per atom, total energy -50.677 eV per cell. Number 7: total magnetic moment 0.000 μB/f.u., density of states at the Fermi level 0.6681 states/eV per atom, total energy -12.655 eV per cell. Number 8: total magnetic moment 0.000 μB/f.u., density of states at the Fermi level 0.0750 states/eV per atom, total energy -18.712 eV per cell. Number 9: total magnetic moment 0.000 μB/f.u., density of states at the Fermi level 0.5415 states/eV per atom, total energy -28.992 eV per cell. Number 10: total magnetic moment 0.000 μB/f.u., density of states at the Fermi level 0.7125 states/eV per atom, total energy -43.903 eV per cell. Number 11: total magnetic moment 14.757 μB/f.u., density of states at the Fermi level 6.2366 states/eV per atom, total energy -79.679 eV per cell. Number 12: total magnetic moment 0.997 μB/f.u., density of states at the Fermi level 1.1770 states/eV per atom, total energy -22.309 eV per cell.